1.
A plane-wave DFT calculation with GGA-PBE was carried out for crystalline U3Pa2S8 at its relaxed geometry.

```
13
Lattice="6.9461 -3.8716 0.0000 6.9461 3.8716 0.0000 -1.9527 0.0000 6.1999" Properties=species:S:1:pos:R:3 pbc="T T T"
U 0.0000 0.0000 0.0000
U 5.9697 1.9566 3.0999
U 5.9697 -1.9566 3.0999
Pa 1.8990 0.0000 5.1421
Pa 10.0405 0.0000 1.0577
S 5.0379 1.9647 0.5287
S 0.9332 0.0000 2.5954
S 6.9015 1.9647 5.6711
S 4.1956 0.0000 3.6929
S 7.7438 0.0000 2.5070
S 5.0379 -1.9647 0.5287
S 11.0063 0.0000 3.6045
S 6.9015 -1.9647 5.6711
```

Values from the calculation:
- magnetic moment (μB per formula unit) = 11.1
- volume (Å³ per atom) = 25.651
- energy relative to the elements, uncorrected (eV per atom) = -1.362


2.
A plane-wave DFT calculation with GGA-PBE was carried out for crystalline U2PaS3 at its relaxed geometry.

```
24
Lattice="0.0000 5.4828 11.6260 3.8800 0.0000 11.6260 3.8800 5.4828 0.0000" Properties=species:S:1:pos:R:3 pbc="T T T"
U 0.9700 1.3707 0.9685
U 2.9100 4.1121 2.9091
U 0.9700 1.3707 4.8445
U 4.8500 6.8536 8.7221
U 2.9100 4.1121 14.5299
U 6.7900 9.5950 18.4075
U 4.8500 6.8536 20.3429
U 6.7900 9.5950 22.2835
Pa 2.9100 4.1121 6.7815
Pa 2.9100 4.1121 10.6576
Pa 4.8500 6.8536 12.5945
Pa 4.8500 6.8536 16.4706
S 2.8977 1.3571 6.7903
S 4.8704 4.1121 8.7195
S 2.9223 1.3571 10.6487
S 4.8623 4.0985 12.6033
S 6.8104 6.8536 14.5325
S 4.8377 4.0985 16.4617
S 2.9223 6.8672 6.7903
S 0.9496 4.1121 8.7195
S 2.8977 6.8672 10.6487
S 4.8377 9.6086 12.6033
S 2.8896 6.8536 14.5325
S 4.8623 9.6086 16.4617
```

Values from the calculation:
- magnetic moment (μB per formula unit) = 5.0
- volume (Å³ per atom) = 20.610
- energy relative to the elements, uncorrected (eV per atom) = -1.456


3.
A plane-wave DFT calculation with GGA-PBE was carried out for crystalline UPa2S6 at its relaxed geometry.

```
18
Lattice="6.6952 0.0000 0.0000 0.0000 6.7790 0.0000 -4.8305 0.0000 9.6922" Properties=species:S:1:pos:R:3 pbc="T T T"
U 0.0000 0.0000 0.0000
U -2.4153 3.3895 4.8461
Pa -1.5591 0.7195 7.5861
Pa 0.8562 2.6700 2.7400
Pa 1.0085 4.1090 6.9522
Pa 3.4237 6.0595 2.1061
S -0.8809 0.6273 2.3987
S -3.2962 2.7622 7.2448
S 1.4255 4.6512 0.9401
S -0.9897 5.5173 5.7862
S 2.2469 1.2905 0.5968
S -0.1684 2.0990 5.4429
S 2.0330 4.6800 4.2493
S -0.3822 5.4885 9.0954
S 2.8544 1.2617 3.9060
S 0.4391 2.1278 8.7521
S 5.1609 4.0168 2.4474
S 2.7456 6.1517 7.2935
```

Values from the calculation:
- magnetic moment (μB per formula unit) = 4.0
- volume (Å³ per atom) = 24.439
- energy relative to the lowest polymorph listed for this composition (eV/atom) = 0.000
- energy relative to the elements, uncorrected (eV per atom) = -1.467


4.
A plane-wave DFT calculation with GGA-PBE was carried out for crystalline U4PaS10 at its relaxed geometry.

```
15
Lattice="-5.1086 5.1086 3.2312 5.1086 -5.1086 3.2312 5.1086 5.1086 -3.2312" Properties=species:S:1:pos:R:3 pbc="T T T"
U 3.0749 1.0162 0.0000
U 4.0923 -2.0336 3.2312
U 1.0162 7.1422 0.0000
U 2.0336 4.0923 3.2312
Pa 0.0000 0.0000 3.2312
S 4.0855 3.0749 -1.6085
S 2.0336 -1.0230 1.6227
S 5.1086 0.0000 1.6156
S 3.0749 6.1316 -1.6085
S 1.0230 2.0336 1.6227
S 4.0855 3.0749 1.6085
S 2.0336 -1.0230 4.8396
S 0.0000 5.1086 1.6156
S 3.0749 6.1316 1.6085
S 1.0230 2.0336 4.8396
```

Values from the calculation:
- magnetic moment (μB per formula unit) = 9.0
- volume (Å³ per atom) = 22.487
- energy relative to the elements, uncorrected (eV per atom) = -1.447


5.
A plane-wave DFT calculation with GGA-PBE was carried out for crystalline ZrU2PaS5 at its relaxed geometry.

```
18
Lattice="1.8262 -8.0561 0.0000 1.8262 8.0561 0.0000 0.0000 0.0000 13.0339" Properties=species:S:1:pos:R:3 pbc="T T T"
Zr 1.8262 4.1944 6.5170
Zr 1.8262 -4.1944 0.0000
U 1.8262 6.7485 1.1568
U 1.8262 5.9355 10.0947
U 1.8262 -5.9355 3.5778
U 1.8262 -6.7485 7.6737
Pa 1.8262 0.9081 11.8441
Pa 1.8262 -0.9081 5.3272
S 1.8262 6.6448 7.2661
S 1.8262 4.0732 1.9157
S 1.8262 3.4315 11.1570
S 1.8262 1.7846 5.6882
S 1.8262 0.0396 9.3576
S 1.8262 -0.0396 2.8407
S 1.8262 -1.7846 12.2051
S 1.8262 -3.4315 4.6401
S 1.8262 -4.0732 8.4327
S 1.8262 -6.6448 0.7492
```

Values from the calculation:
- magnetic moment (μB per formula unit) = 0.1
- volume (Å³ per atom) = 21.306
- energy relative to the elements, uncorrected (eV per atom) = -1.331


6.
A plane-wave DFT calculation with GGA-PBE was carried out for crystalline PaVS2 at its relaxed geometry.

```
4
Lattice="0.0000 3.2239 3.2239 3.2239 0.0000 3.2239 3.2239 3.2239 0.0000" Properties=species:S:1:pos:R:3 pbc="T T T"
Pa 0.0000 0.0000 0.0000
V 3.2239 3.2239 3.2239
S 1.6120 1.6120 1.6120
S 4.8359 4.8359 4.8359
```

Values from the calculation:
- magnetic moment (μB per formula unit) = 0.9
- volume (Å³ per atom) = 16.754
- energy relative to the lowest polymorph listed for this composition (eV/atom) = 0.289
- energy relative to the elements, uncorrected (eV per atom) = -0.803


7.
A plane-wave DFT calculation with GGA-PBE was carried out for crystalline Pa2VS6 at its relaxed geometry.

```
18
Lattice="6.0294 0.0000 0.0000 0.0000 7.0222 0.0000 -5.9320 0.0000 8.5646" Properties=species:S:1:pos:R:3 pbc="T T T"
Pa -0.2553 0.8717 2.1181
Pa -3.2213 2.6394 6.4004
Pa 3.3187 4.3827 2.1642
Pa 0.3527 6.1505 6.4465
V 3.0147 0.0000 0.0000
V 0.0487 3.5111 4.2823
S -4.9555 1.2187 8.0620
S -1.9895 2.2924 3.7797
S -3.8175 4.8386 8.0380
S -0.8515 5.6946 3.7557
S -2.0907 0.2597 6.3320
S 0.8753 3.2514 2.0497
S -0.7779 3.7707 6.5150
S 2.1881 6.7625 2.2326
S 0.9489 1.3275 4.8089
S 3.9149 2.1836 0.5266
S 2.0869 4.7297 4.7849
S 5.0529 5.8035 0.5026
```

Values from the calculation:
- magnetic moment (μB per formula unit) = 2.4
- volume (Å³ per atom) = 20.146
- energy relative to the lowest polymorph listed for this composition (eV/atom) = 0.000
- energy relative to the elements, uncorrected (eV per atom) = -1.434


8.
A plane-wave DFT calculation with GGA-PBE was carried out for crystalline Pa2VS6 at its relaxed geometry.

```
9
Lattice="5.6047 -1.9111 0.0000 5.6047 1.9111 0.0000 -0.0550 0.0000 8.4782" Properties=species:S:1:pos:R:3 pbc="T T T"
Pa 2.7332 0.0000 2.2223
Pa 8.4213 0.0000 6.2559
V 5.6047 0.0000 0.0000
S 1.5017 0.0000 8.0299
S 1.6045 0.0000 4.8174
S 4.7193 0.0000 6.2500
S 6.4351 0.0000 2.2282
S 9.5499 0.0000 3.6608
S 9.6527 0.0000 0.4482
```

Values from the calculation:
- magnetic moment (μB per formula unit) = 2.6
- volume (Å³ per atom) = 20.180
- energy relative to the lowest polymorph listed for this composition (eV/atom) = 0.041
- energy relative to the elements, uncorrected (eV per atom) = -1.393


9.
A plane-wave DFT calculation with GGA-PBE was carried out for crystalline Pa2V2S7 at its relaxed geometry.

```
11
Lattice="-1.9353 6.3714 4.4226 1.9353 -6.3714 4.4226 1.9353 6.3714 -4.4226" Properties=species:S:1:pos:R:3 pbc="T T T"
Pa 0.0000 2.9847 0.0000
Pa 0.0000 9.7581 0.0000
V 1.9353 0.0000 1.3100
V 0.0000 0.0000 6.5025
S 0.0000 0.0000 0.0590
S 1.9353 -2.2153 1.8234
S 1.9353 4.8677 -0.0411
S 1.9353 2.2153 1.8234
S 0.0000 1.5037 4.3816
S 0.0000 4.6568 2.5022
S 0.0000 8.0860 2.5022
```

Values from the calculation:
- magnetic moment (μB per formula unit) = 6.0
- volume (Å³ per atom) = 19.830
- energy relative to the elements, uncorrected (eV per atom) = -1.147


10.
A plane-wave DFT calculation with GGA-PBE was carried out for crystalline PaVS2 at its relaxed geometry.

```
4
Lattice="1.9198 1.1084 5.5178 -1.9198 1.1084 5.5178 0.0000 -2.2167 5.5178" Properties=species:S:1:pos:R:3 pbc="T T T"
Pa 0.0000 0.0000 0.0000
V 0.0000 0.0000 8.2767
S 0.0000 0.0000 3.9005
S 0.0000 0.0000 12.6530
```

Values from the calculation:
- magnetic moment (μB per formula unit) = 0.3
- volume (Å³ per atom) = 17.611
- energy relative to the lowest polymorph listed for this composition (eV/atom) = 0.000
- energy relative to the elements, uncorrected (eV per atom) = -1.093